An optimized crystal structure of ScHPdPt2, computed with PBE.

```
data_ScHPdPt2
_symmetry_space_group_name_H-M 'P 4/m m m'
_symmetry_Int_Tables_number 123
_symmetry_space_group_name_Hall '-P 4 2'
_cell_length_a 3.968
_cell_length_b 3.968
_cell_length_c 4.265
_cell_angle_alpha 90.00
_cell_angle_beta 90.00
_cell_angle_gamma 90.00
loop_
_atom_site_label
_atom_site_type_symbol
_atom_site_fract_x
_atom_site_fract_y
_atom_site_fract_z
Sc1 Sc 0.000 0.000 0.000
H1 H 0.000 0.000 0.500
Pd1 Pd 0.500 0.500 0.000
Pt1 Pt 0.000 0.500 0.500
```

Values from the calculation:
DOS(E_F)   0.2226 states/eV per atom
Energy   -6.116 eV per atom
V   13.43 Å³ per atom
Polymorph energy (0 for the lowest one)   31 meV per atom